Entry 1:
A plane-wave DFT calculation with PBE was carried out for a relaxed structure of ZrScCo2.

abc: 5.3710 5.3710 5.3710
angles: 140.09 140.09 57.71
Atoms (fractional coordinates):
Zr 0.7500 0.2500 0.5000
Sc 0.5000 0.5000 0.0000
Co 0.0000 0.0000 0.0000
Co 0.2500 0.7500 0.5000

Results
Final energy, eV per atom: -7.41
Calculated volume, Å³ per cell: 63.22
Crystal system: tetragonal

***

Entry 2:
A plane-wave DFT calculation with PBE was carried out for a relaxed structure of Sn3AsBr.

abc: 5.5713 5.5713 5.5713
angles: 90.00 90.00 90.00
Atoms (fractional coordinates):
As 0.0000 0.0000 0.0000
Br 0.5000 0.5000 0.5000
Sn 0.0000 0.0000 0.5000
Sn 0.0000 0.5000 0.0000
Sn 0.5000 0.0000 0.0000

Results
Final energy, eV per atom: -3.32
ΔE_f (raw), eV/atom: 0.3458
Calculated volume, Å³ per cell: 172.93
Crystal system: cubic

***

Entry 3:
A plane-wave DFT calculation with PBE was carried out for a relaxed structure of CaGa3CoNi.

abc: 5.6785 7.5507 6.4706
angles: 125.69 90.00 90.00
Atoms (fractional coordinates):
Ni 0.7500 0.5522 0.1044
Ni 0.2500 0.4478 0.8956
Co 0.7500 0.9770 0.9539
Co 0.2500 0.0230 0.0461
Ga 0.0000 0.7492 0.0000
Ga 0.2500 0.2322 0.4644
Ga 0.5000 0.2508 0.0000
Ga 0.5000 0.7492 0.0000
Ga 0.0000 0.2508 0.0000
Ga 0.7500 0.7678 0.5356
Ca 0.2500 0.7324 0.4649
Ca 0.7500 0.2676 0.5351

Results
Final energy, eV per atom: -4.24
Calculated volume, Å³ per cell: 225.32
Crystal system: orthorhombic

***

Entry 4:
A plane-wave DFT calculation with PBE was carried out for a relaxed structure of YInBiSb2.

abc: 5.5362 5.6784 5.5362
angles: 90.00 90.00 90.00
Atoms (fractional coordinates):
Bi 0.0000 0.5000 0.0000
Sb 0.5000 0.0000 0.0000
Sb 0.0000 0.0000 0.5000
Y 0.5000 0.5000 0.5000
In 0.0000 0.0000 0.0000

Results
Final energy, eV per atom: -3.83
ΔE_f (raw), eV/atom: 0.4344
Calculated volume, Å³ per cell: 174.04
Crystal system: tetragonal

***

Entry 5:
A plane-wave DFT calculation with PBE was carried out for a relaxed structure of Nd2Sb3Pt4Au.

abc: 4.5942 4.5942 10.6212
angles: 90.00 90.00 90.00
Atoms (fractional coordinates):
Pt 0.5000 0.0000 0.6308
Pt 0.5000 0.5000 0.0000
Pt 0.0000 0.5000 0.3692
Pt 0.0000 0.0000 0.0000
Sb 0.0000 0.5000 0.1298
Sb 0.0000 0.0000 0.5000
Sb 0.5000 0.0000 0.8702
Nd 0.0000 0.5000 0.7549
Nd 0.5000 0.0000 0.2451
Au 0.5000 0.5000 0.5000

Results
Final energy, eV per atom: -5.70
ΔE_f (raw), eV/atom: -0.7680
Calculated volume, Å³ per cell: 224.18
Crystal system: tetragonal

***

Entry 6:
A plane-wave DFT calculation with PBE was carried out for a relaxed structure of YTa2AlIr4.

abc: 4.4156 4.4156 8.7091
angles: 75.31 75.31 60.00
Atoms (fractional coordinates):
Ir 0.5995 0.5995 0.2015
Ir 0.8671 0.8671 0.3988
Ir 0.1329 0.1329 0.6012
Ir 0.4005 0.4005 0.7985
Ta 0.2420 0.2420 0.2739
Ta 0.7580 0.7580 0.7261
Y 0.0000 0.0000 0.0000
Al 0.5000 0.5000 0.5000

Results
Final energy, eV per atom: -9.35
Calculated volume, Å³ per cell: 140.62
Crystal system: trigonal

***

Number 1: magnetic moment 0.0 μB per cell, DOS at the Fermi energy 2.03 states/eV/cell. Number 2: magnetic moment 0.0 μB per cell, DOS at the Fermi energy 4.57 states/eV/cell. Number 3: magnetic moment 0.0 μB per cell, DOS at the Fermi energy 7.03 states/eV/cell. Number 4: magnetic moment 0.0 μB per cell, DOS at the Fermi energy 5.28 states/eV/cell. Number 5: magnetic moment 0.0 μB per cell, DOS at the Fermi energy 4.75 states/eV/cell. Number 6: magnetic moment 0.0 μB per cell, DOS at the Fermi energy 2.65 states/eV/cell.